No. 1
This record from Alexandria describes CaZnAs2Se after structural relaxation. The functional is PBE-GGA.

Properties
- V: 31.7 A^3/atom
- Calculated total energy: -2.595 eV/atom
- ΔE to the lowest computed polymorph: 0.728 eV per atom
- Total magnetization: 0.5 Bohr magnetons per cell

Cell lengths 5.4561, 5.4561, 5.3226 Å; angles 90.00, 90.00, 90.00 degrees
Space group P4/mmm (No. 123)
Inequivalent atoms, fractional coordinates:
Ca1 0.0000 0.0000 0.0000 [1 per cell]
Zn1 0.5000 0.5000 0.5000 [1 per cell]
As1 0.0000 0.5000 0.0000 [2 per cell]
Se1 0.0000 0.0000 0.5000 [1 per cell]

---

No. 2
This record from Alexandria describes CaZnAsSe2 after structural relaxation. The functional is PBE-GGA.

Properties
- V: 32.3 A^3/atom
- Calculated total energy: -2.587 eV/atom
- ΔE to the lowest computed polymorph: 0.698 eV per atom
- Total magnetization: 0.3 Bohr magnetons per cell

Cell lengths 5.4049, 5.4049, 5.5241 Å; angles 90.00, 90.00, 90.00 degrees
Space group P4/mmm (No. 123)
Inequivalent atoms, fractional coordinates:
Ca1 0.0000 0.0000 0.0000 [1 per cell]
Zn1 0.5000 0.5000 0.5000 [1 per cell]
As1 0.0000 0.0000 0.5000 [1 per cell]
Se1 0.0000 0.5000 0.0000 [2 per cell]

---

No. 3
This record from Alexandria describes CaZrAsSe2 after structural relaxation. The functional is PBE-GGA.

Properties
- V: 28.5 A^3/atom
- Calculated total energy: -5.331 eV/atom
- ΔE to the lowest computed polymorph: 0.000 eV per atom
- Total magnetization: 0.0 Bohr magnetons per cell

Cell lengths 5.2216, 5.2216, 5.2221 Å; angles 90.00, 90.00, 90.00 degrees
Space group P4/mmm (No. 123)
Inequivalent atoms, fractional coordinates:
Ca1 0.0000 0.0000 0.0000 [1 per cell]
Zr1 0.5000 0.5000 0.5000 [1 per cell]
As1 0.5000 0.5000 0.0000 [1 per cell]
Se1 0.0000 0.5000 0.5000 [2 per cell]

---

No. 4
This record from Alexandria describes CaZrAsSe2 after structural relaxation. The functional is PBE-GGA.

Properties
- V: 28.0 A^3/atom
- Calculated total energy: -4.171 eV/atom
- ΔE to the lowest computed polymorph: 1.160 eV per atom
- Total magnetization: 0.0 Bohr magnetons per cell

Cell lengths 5.1852, 5.1852, 5.2117 Å; angles 90.00, 90.00, 90.00 degrees
Space group P4/mmm (No. 123)
Inequivalent atoms, fractional coordinates:
Ca1 0.0000 0.0000 0.0000 [1 per cell]
Zr1 0.5000 0.5000 0.5000 [1 per cell]
As1 0.0000 0.0000 0.5000 [1 per cell]
Se1 0.0000 0.5000 0.0000 [2 per cell]

---

No. 5
This record from Alexandria describes Ca5Si2As after structural relaxation. The functional is PBE-GGA.

Properties
- V: 26.5 A^3/atom
- Calculated total energy: -3.879 eV/atom
- Total magnetization: 3.1 Bohr magnetons per cell

Cell lengths 7.6475, 7.6475, 14.5048 Å; angles 90.00, 90.00, 90.00 degrees
Space group I4/mcm (No. 140)
Inequivalent atoms, fractional coordinates:
Ca1 0.0000 0.0000 0.0000 [4 per cell]
Ca2 0.1737 0.3263 0.1430 [16 per cell]
Si1 0.1144 0.3856 0.5000 [8 per cell]
As1 0.0000 0.0000 0.2500 [4 per cell]

---

No. 6
This record from Alexandria describes Ca3SiAs after structural relaxation. The functional is PBE-GGA.

Properties
- V: 32.9 A^3/atom
- Calculated total energy: -3.592 eV/atom
- ΔE to the lowest computed polymorph: 0.000 eV per atom
- Total magnetization: 0.7 Bohr magnetons per cell

Cell lengths 5.4792, 5.4792, 5.4792 Å; angles 90.00, 90.00, 90.00 degrees
Space group Pm-3m (No. 221)
Inequivalent atoms, fractional coordinates:
Ca1 0.0000 0.0000 0.5000 [3 per cell]
Si1 0.5000 0.5000 0.5000 [1 per cell]
As1 0.0000 0.0000 0.0000 [1 per cell]

---

No. 7
This record from Alexandria describes Ca3SiAs3 after structural relaxation. The functional is PBE-GGA.

Properties
- V: 25.2 A^3/atom
- Calculated total energy: -4.482 eV/atom
- Total magnetization: 0.0 Bohr magnetons per cell

Cell lengths 18.5525, 6.2389, 12.1862 Å; angles 90.00, 90.00, 90.00 degrees
Space group Cmce (No. 64)
Inequivalent atoms, fractional coordinates:
Ca1 0.0000 0.1873 0.1443 [8 per cell]
Ca2 0.1766 0.1846 0.8676 [16 per cell]
Si1 0.0883 0.0000 0.5000 [8 per cell]
As1 0.0000 0.2129 0.3882 [8 per cell]
As2 0.1620 0.2079 0.6213 [16 per cell]

---

No. 8
This record from Alexandria describes Ca2SiAs after structural relaxation. The functional is PBE-GGA.

Properties
- V: 23.1 A^3/atom
- Calculated total energy: -4.072 eV/atom
- ΔE to the lowest computed polymorph: 0.005 eV per atom
- Total magnetization: 0.0 Bohr magnetons per cell

Cell lengths 6.6350, 6.7332, 8.2816 Å; angles 90.00, 90.00, 90.00 degrees
Space group Fmmm (No. 69)
Inequivalent atoms, fractional coordinates:
Ca1 0.2500 0.2500 0.2500 [8 per cell]
Si1 0.0000 0.0000 0.0000 [4 per cell]
As1 0.0000 0.0000 0.5000 [4 per cell]

---

No. 9
This record from Alexandria describes Ca2SiAs after structural relaxation. The functional is PBE-GGA.

Properties
- V: 25.6 A^3/atom
- Calculated total energy: -3.819 eV/atom
- ΔE to the lowest computed polymorph: 0.258 eV per atom
- Total magnetization: 0.0 Bohr magnetons per cell

Cell lengths 7.9683, 7.9683, 6.4470 Å; angles 90.00, 90.00, 90.00 degrees
Space group I-42d (No. 122)
Inequivalent atoms, fractional coordinates:
Ca1 0.2394 0.2500 0.1250 [8 per cell]
Si1 0.0000 0.0000 0.5000 [4 per cell]
As1 0.0000 0.0000 0.0000 [4 per cell]

---

No. 10
This record from Alexandria describes Ca2SiAs after structural relaxation. The functional is PBE-GGA.

Properties
- V: 26.3 A^3/atom
- Calculated total energy: -3.785 eV/atom
- ΔE to the lowest computed polymorph: 0.292 eV per atom
- Total magnetization: 0.0 Bohr magnetons per cell

Cell lengths 4.9819, 5.1936, 8.1227 Å; angles 90.00, 90.00, 90.00 degrees
Space group Cmm2 (No. 35)
Inequivalent atoms, fractional coordinates:
Ca1 0.0000 0.0000 0.0000 [2 per cell]
Ca2 0.0000 0.5000 0.3849 [2 per cell]
Si1 0.0000 0.5000 0.7456 [2 per cell]
As1 0.0000 0.0000 0.6371 [2 per cell]

---

No. 11
This record from Alexandria describes Ca2SiAs after structural relaxation. The functional is PBE-GGA.

Properties
- V: 25.5 A^3/atom
- Calculated total energy: -3.909 eV/atom
- ΔE to the lowest computed polymorph: 0.168 eV per atom
- Total magnetization: 0.0 Bohr magnetons per cell

Cell lengths 3.3256, 5.0621, 6.0524 Å; angles 90.00, 90.00, 90.00 degrees
Space group Pmmm (No. 47)
Inequivalent atoms, fractional coordinates:
Ca1 0.0000 0.0000 0.0000 [1 per cell]
Ca2 0.5000 0.5000 0.5000 [1 per cell]
Si1 0.0000 0.0000 0.5000 [1 per cell]
As1 0.5000 0.5000 0.0000 [1 per cell]

---

No. 12
This record from Alexandria describes CaSi3As after structural relaxation. The functional is PBE-GGA.

Properties
- V: 28.9 A^3/atom
- Calculated total energy: -2.934 eV/atom
- ΔE to the lowest computed polymorph: 1.092 eV per atom
- Total magnetization: 0.8 Bohr magnetons per cell

Cell lengths 5.2484, 5.2484, 5.2484 Å; angles 90.00, 90.00, 90.00 degrees
Space group Pm-3m (No. 221)
Inequivalent atoms, fractional coordinates:
Ca1 0.0000 0.0000 0.0000 [1 per cell]
Si1 0.0000 0.0000 0.5000 [3 per cell]
As1 0.5000 0.5000 0.5000 [1 per cell]